# 1
Li4Sc3US8, relaxed, DFT GGA-PBE; V = 298.2 Å³/cell; crystal system = trigonal; calculated total energy = -6.089 eV per atom
1.0
3.7466 2.1631 6.1322
-3.7466 2.1631 6.1322
0.0000 -4.3262 6.1322
Li Sc U S
4 3 1 8
Direct
0.0000 0.0000 0.0000
0.0000 0.5000 0.5000
0.5000 0.0000 0.5000
0.5000 0.5000 0.0000
0.0000 0.0000 0.5000
0.0000 0.5000 0.0000
0.5000 0.0000 0.0000
0.5000 0.5000 0.5000
0.2392 0.7538 0.7538
0.2464 0.2464 0.2464
0.2462 0.2462 0.7608
0.2462 0.7608 0.2462
0.7538 0.2392 0.7538
0.7538 0.7538 0.2392
0.7536 0.7536 0.7536
0.7608 0.2462 0.2462


# 2
LiSc2US4, relaxed, DFT GGA-PBE; V = 149.6 Å³/cell; crystal system = monoclinic; calculated total energy = -6.961 eV per atom
1.0
6.5060 0.0000 0.0000
0.0000 3.7151 0.0000
-2.1150 0.0000 6.1884
Li Sc U S
1 2 1 4
Direct
0.0000 0.0000 0.0000
0.0000 0.5000 0.5000
0.5000 0.0000 0.5000
0.5000 0.5000 0.0000
0.2375 0.0000 0.7385
0.2474 0.5000 0.2579
0.7526 0.5000 0.7421
0.7625 0.0000 0.2615